No. 1
Compound: PrSmMgCo
Source: Alexandria
Functional: PBE
Structure: optimized geometry

Values from the calculation:
The value obtained for the formation enthalpy at 0 K is 0.0764 eV per atom.

Cell lengths 7.333, 7.333, 7.333 Å; angles 90.00, 90.00, 90.00 degrees
Space group F-43m (No. 216)
Symmetry-distinct sites (fractional):
Pr: 0.000 0.000 0.000 x4
Sm: 0.000 0.000 0.500 x4
Mg: 0.250 0.250 0.750 x4
Co: 0.250 0.250 0.250 x4

No. 2
Compound: V2Ga2Rh
Source: Alexandria
Functional: PBE
Structure: optimized geometry

Values from the calculation:
The value obtained for the formation enthalpy at 0 K is 0.0462 eV per atom. The calculation puts the energy above the most stable polymorph in this dataset at 217 meV/atom.

Cell lengths 3.416, 3.416, 12.827 Å; angles 90.00, 90.00, 90.00 degrees
Space group I4/mmm (No. 139)
Symmetry-distinct sites (fractional):
V: 0.000 0.500 0.250 x4
Ga: 0.000 0.000 0.094 x4
Rh: 0.000 0.000 0.500 x2

No. 3
Compound: Mn2GeSe
Source: Alexandria
Functional: PBE
Structure: optimized geometry

Values from the calculation:
The calculation puts the energy above the most stable polymorph in this dataset at 98 meV/atom.

Cell lengths 5.915, 5.915, 5.915 Å; angles 90.00, 90.00, 90.00 degrees
Space group Fm-3m (No. 225)
Symmetry-distinct sites (fractional):
Mn: 0.250 0.250 0.250 x8
Ge: 0.000 0.000 0.000 x4
Se: 0.000 0.000 0.500 x4

No. 4
Compound: LiSc2Mn
Source: Alexandria
Functional: PBE
Structure: optimized geometry

Values from the calculation:
The value obtained for the formation enthalpy at 0 K is 0.8928 eV per atom.

Cell lengths 7.129, 7.129, 10.078 Å; angles 90.00, 90.00, 90.00 degrees
Space group I-42d (No. 122)
Symmetry-distinct sites (fractional):
Li: 0.000 0.000 0.000 x4
Sc: 0.001 0.250 0.625 x8
Mn: 0.000 0.000 0.500 x4

Number 1: DOS(E_F) 0.635 states/eV per atom. Number 2: DOS(E_F) 0.827 states/eV per atom. Number 3: DOS(E_F) 0.913 states/eV per atom. Number 4: DOS(E_F) 0.279 states/eV per atom.